No. 1
Compound: SmHg2Bi2
Source: Alexandria via LeMat-Bulk
Functional: PBE
Structure: optimized geometry

a = 5.336 Å, b = 5.336 Å, c = 12.879 Å
α = 90.00°, β = 90.00°, γ = 120.00°
Positions (direct):
Sm 0.000 0.000 0.750
Sm 0.000 0.000 0.250
Bi 0.667 0.333 0.374
Bi 0.667 0.333 0.126
Bi 0.333 0.667 0.874
Bi 0.333 0.667 0.626
Hg 0.000 0.000 0.500
Hg 0.000 0.000 0.000
Hg 0.667 0.333 0.750
Hg 0.333 0.667 0.250

Results
Distance to the lowest polymorph of the same formula = 120.9 meV/atom
Crystal system = hexagonal
Calculated volume = 318 Å³ per cell
Space group = P6_3/mmc
Formation enthalpy at 0 K = -0.229 eV per atom
Total energy = -2.85 eV per atom



No. 2
Compound: Sm4Hg3Bi
Source: Alexandria via LeMat-Bulk
Functional: PBE
Structure: optimized geometry

a = 5.430 Å, b = 7.589 Å, c = 10.860 Å
α = 90.00°, β = 90.00°, γ = 90.00°
Positions (direct):
Sm 0.500 0.756 0.000
Sm 0.001 0.244 0.250
Sm 0.001 0.756 0.250
Sm 0.500 0.244 0.000
Sm 0.999 0.756 0.750
Sm 0.500 0.756 0.500
Sm 0.500 0.244 0.500
Sm 0.999 0.244 0.750
Bi 0.000 0.500 0.500
Bi 0.000 0.500 0.000
Hg 0.501 0.500 0.250
Hg 0.000 0.000 0.000
Hg 0.501 0.000 0.250
Hg 0.499 0.000 0.750
Hg 0.499 0.500 0.750
Hg 0.000 0.000 0.500

Results
Crystal system = orthorhombic
Calculated volume = 448 Å³ per cell
Space group = Pmma
Formation enthalpy at 0 K = -0.533 eV per atom
Total energy = -3.49 eV per atom



No. 3
Compound: Sm6HgBi2
Source: Alexandria via LeMat-Bulk
Functional: PBE
Structure: optimized geometry

a = 4.279 Å, b = 8.723 Å, c = 8.722 Å
α = 120.00°, β = 90.00°, γ = 90.00°
Last column: magnetic moment on the atom in μB.
Positions (direct):
Sm 0.000 0.256 0.000  0.23
Sm 0.500 0.595 0.000  0.23
Sm 0.000 0.744 0.744  0.23
Sm 0.500 0.405 0.404  0.23
Sm 0.500 0.000 0.596  0.23
Sm 0.000 0.000 0.256  0.23
Hg 0.500 0.000 0.000  0.02
Bi 0.000 0.333 0.667  -0.02
Bi 0.000 0.667 0.333  -0.02

Results
Crystal system = hexagonal
Calculated volume = 282 Å³ per cell
Space group = P-62m
Formation enthalpy at 0 K = -0.504 eV per atom
Total energy = -4.55 eV per atom



No. 4
Compound: SmHg2Bi2
Source: Alexandria via LeMat-Bulk
Functional: PBE
Structure: optimized geometry

a = 4.589 Å, b = 4.594 Å, c = 14.578 Å
α = 78.68°, β = 99.05°, γ = 90.00°
Positions (direct):
Sm 0.341 0.142 0.683
Sm 0.659 0.858 0.317
Hg 0.451 0.747 0.902
Hg 0.549 0.253 0.098
Hg 0.043 0.779 0.086
Hg 0.957 0.221 0.914
Bi 0.138 0.381 0.276
Bi 0.250 0.751 0.500
Bi 0.862 0.619 0.724
Bi 0.750 0.249 0.500

Results
Distance to the lowest polymorph of the same formula = 0.0 meV/atom
Crystal system = monoclinic
Calculated volume = 297 Å³ per cell
Space group = C2/m
Formation enthalpy at 0 K = -0.350 eV per atom
Total energy = -2.97 eV per atom



No. 5
Compound: Sm5HgBi4
Source: Alexandria via LeMat-Bulk
Functional: PBE
Structure: optimized geometry

a = 6.409 Å, b = 7.856 Å, c = 7.856 Å
α = 80.42°, β = 65.92°, γ = 65.92°
Positions (direct):
Sm 0.697 0.200 0.408
Sm 0.897 0.408 0.800
Sm 0.105 0.592 0.200
Sm 0.501 0.000 0.000
Sm 0.305 0.800 0.592
Bi 0.801 0.800 0.601
Bi 0.600 0.601 0.200
Bi 0.401 0.399 0.800
Bi 0.201 0.200 0.399
Hg 0.001 0.000 0.000

Results
Crystal system = tetragonal
Calculated volume = 330 Å³ per cell
Space group = I4/m
Formation enthalpy at 0 K = -0.765 eV per atom
Total energy = -4.71 eV per atom



No. 6
Compound: Sm2Hg6Bi
Source: Alexandria via LeMat-Bulk
Functional: PBE
Structure: optimized geometry

a = 3.443 Å, b = 9.084 Å, c = 8.736 Å
α = 121.32°, β = 90.02°, γ = 90.00°
Positions (direct):
Hg 0.503 0.003 0.335
Hg 0.497 0.669 0.665
Hg 0.500 0.668 0.000
Hg 0.497 0.997 0.665
Hg 0.500 0.332 0.000
Hg 0.503 0.331 0.335
Sm 0.998 0.664 0.327
Sm 0.002 0.336 0.673
Bi 0.000 0.000 0.000

Results
Crystal system = monoclinic
Calculated volume = 233 Å³ per cell
Space group = C2/m
Formation enthalpy at 0 K = -0.243 eV per atom
Total energy = -1.92 eV per atom



No. 7
Compound: Sm8HgBi5
Source: Alexandria via LeMat-Bulk
Functional: PBE
Structure: optimized geometry

a = 8.275 Å, b = 8.275 Å, c = 8.275 Å
α = 109.78°, β = 108.85°, γ = 109.78°
Positions (direct):
Bi 0.878 0.872 0.250
Bi 0.378 0.128 0.006
Bi 0.500 0.000 0.500
Bi 0.994 0.372 0.122
Bi 0.750 0.628 0.622
Sm 0.477 0.604 0.226
Sm 0.774 0.252 0.378
Sm 0.988 0.113 0.733
Sm 0.126 0.745 0.012
Sm 0.622 0.396 0.873
Sm 0.267 0.255 0.381
Sm 0.619 0.887 0.874
Sm 0.127 0.748 0.523
Hg 0.250 0.500 0.750

Results
Crystal system = tetragonal
Calculated volume = 436 Å³ per cell
Space group = I-4
Formation enthalpy at 0 K = -0.732 eV per atom
Total energy = -4.84 eV per atom



No. 8
Compound: Sm4HgBi3
Source: Alexandria via LeMat-Bulk
Functional: PBE
Structure: optimized geometry

a = 6.409 Å, b = 6.409 Å, c = 6.409 Å
α = 90.00°, β = 90.00°, γ = 90.00°
Last column: magnetic moment on the atom in μB.
Positions (direct):
Bi 0.000 0.500 0.500  0.01
Bi 0.500 0.500 0.000  0.01
Bi 0.500 0.000 0.500  0.01
Hg 0.000 0.000 0.000  0.05
Sm 0.000 0.500 0.000  0.05
Sm 0.500 0.500 0.500  0.00
Sm 0.000 0.000 0.500  0.05
Sm 0.500 0.000 0.000  0.05

Results
Crystal system = cubic
Calculated volume = 263 Å³ per cell
Space group = Pm-3m
Formation enthalpy at 0 K = -0.712 eV per atom
Total energy = -4.56 eV per atom



No. 9
Compound: Sm5Hg2Bi
Source: Alexandria via LeMat-Bulk
Functional: PBE
Structure: optimized geometry

a = 8.588 Å, b = 8.588 Å, c = 8.939 Å
α = 118.71°, β = 118.71°, γ = 90.00°
Positions (direct):
Hg 0.141 0.359 0.000
Hg 0.641 0.141 0.000
Hg 0.859 0.641 0.000
Hg 0.359 0.859 0.000
Sm 0.493 0.299 0.292
Sm 0.201 0.007 0.708
Sm 0.000 0.000 0.000
Sm 0.701 0.201 0.708
Sm 0.007 0.507 0.708
Sm 0.993 0.493 0.292
Sm 0.799 0.993 0.292
Sm 0.507 0.701 0.708
Sm 0.500 0.500 0.000
Sm 0.299 0.799 0.292
Bi 0.250 0.250 0.500
Bi 0.750 0.750 0.500

Results
Crystal system = tetragonal
Calculated volume = 484 Å³ per cell
Space group = I4/mcm
Formation enthalpy at 0 K = -0.481 eV per atom
Total energy = -3.99 eV per atom



No. 10
Compound: Sm3HgBi
Source: Alexandria via LeMat-Bulk
Functional: PBE
Structure: optimized geometry

a = 8.864 Å, b = 8.486 Å, c = 8.486 Å
α = 86.33°, β = 90.00°, γ = 90.00°
Positions (direct):
Sm 0.416 0.197 0.000
Sm 0.584 0.501 0.697
Sm 0.084 0.000 0.803
Sm 0.084 0.697 0.501
Sm 0.916 0.303 0.499
Sm 0.416 0.499 0.303
Sm 0.916 0.000 0.197
Sm 0.584 0.803 0.000
Sm 0.682 0.931 0.569
Sm 0.818 0.431 0.069
Sm 0.318 0.069 0.431
Sm 0.182 0.569 0.931
Hg 0.630 0.196 0.303
Hg 0.370 0.804 0.697
Hg 0.130 0.303 0.196
Hg 0.870 0.697 0.804
Bi 0.250 0.845 0.155
Bi 0.750 0.155 0.845
Bi 0.750 0.654 0.346
Bi 0.250 0.346 0.654

Results
Crystal system = monoclinic
Calculated volume = 637 Å³ per cell
Space group = C2/c
Formation enthalpy at 0 K = -0.468 eV per atom
Total energy = -4.14 eV per atom



No. 11
Compound: Sm8HgBi2
Source: Alexandria via LeMat-Bulk
Functional: PBE
Structure: optimized geometry

a = 5.069 Å, b = 7.271 Å, c = 10.023 Å
α = 97.07°, β = 104.65°, γ = 90.00°
Positions (direct):
Sm 0.406 0.500 0.813
Sm 0.995 0.241 0.990
Sm 0.659 0.041 0.318
Sm 0.785 0.646 0.569
Sm 0.594 0.500 0.187
Sm 0.215 0.354 0.431
Sm 0.341 0.959 0.682
Sm 0.005 0.759 0.010
Hg 0.500 0.000 0.000
Bi 0.177 0.782 0.354
Bi 0.823 0.218 0.646

Results
Crystal system = monoclinic
Calculated volume = 354 Å³ per cell
Space group = C2/m
Formation enthalpy at 0 K = -0.324 eV per atom
Total energy = -4.49 eV per atom



No. 12
Compound: Sm2Hg3Bi3
Source: Alexandria via LeMat-Bulk
Functional: PBE
Structure: optimized geometry

a = 5.071 Å, b = 4.700 Å, c = 9.375 Å
α = 90.00°, β = 90.00°, γ = 90.00°
Positions (direct):
Bi 0.500 0.000 0.500
Bi 0.000 0.500 0.000
Bi 0.000 0.500 0.500
Sm 0.000 0.000 0.755
Sm 0.000 0.000 0.245
Hg 0.500 0.500 0.764
Hg 0.500 0.000 0.000
Hg 0.500 0.500 0.236

Results
Crystal system = orthorhombic
Calculated volume = 223 Å³ per cell
Space group = Pmmm
Formation enthalpy at 0 K = -0.432 eV per atom
Total energy = -3.18 eV per atom



No. 13
Compound: SmSnHgBi
Source: Alexandria via LeMat-Bulk
Functional: PBE
Structure: optimized geometry

a = 4.588 Å, b = 4.861 Å, c = 4.904 Å
α = 90.00°, β = 90.00°, γ = 90.00°
Positions (direct):
Sm 0.500 0.000 0.500
Hg 0.500 0.500 0.000
Sn 0.000 0.000 0.000
Bi 0.000 0.500 0.500

Results
Distance to the lowest polymorph of the same formula = 0.0 meV/atom
Crystal system = orthorhombic
Calculated volume = 109 Å³ per cell
Space group = Pmmm
Formation enthalpy at 0 K = -0.443 eV per atom
Total energy = -3.67 eV per atom



No. 14
Compound: SmSnHgBi
Source: Alexandria via LeMat-Bulk
Functional: PBE
Structure: optimized geometry

a = 5.455 Å, b = 5.455 Å, c = 5.455 Å
α = 60.00°, β = 60.00°, γ = 60.00°
Positions (direct):
Sn 0.250 0.250 0.250
Hg 0.000 0.000 0.000
Bi 0.500 0.500 0.500
Sm 0.750 0.750 0.750

Results
Distance to the lowest polymorph of the same formula = 172.6 meV/atom
Crystal system = cubic
Calculated volume = 115 Å³ per cell
Space group = F-43m
Formation enthalpy at 0 K = -0.270 eV per atom
Total energy = -3.50 eV per atom



No. 15
Compound: TbSmHgBi
Source: Alexandria via LeMat-Bulk
Functional: PBE
Structure: optimized geometry

a = 5.423 Å, b = 5.423 Å, c = 5.423 Å
α = 60.00°, β = 60.00°, γ = 60.00°
Positions (direct):
Tb 0.500 0.500 0.500
Sm 0.000 0.000 0.000
Bi 0.750 0.750 0.750
Hg 0.250 0.250 0.250

Results
Crystal system = cubic
Calculated volume = 113 Å³ per cell
Space group = F-43m
Formation enthalpy at 0 K = -0.530 eV per atom
Total energy = -3.91 eV per atom



No. 16
Compound: Sm6HgBi2Te3
Source: Alexandria via LeMat-Bulk
Functional: PBE
Structure: optimized geometry

a = 4.444 Å, b = 9.038 Å, c = 10.023 Å
α = 103.08°, β = 102.81°, γ = 90.00°
Positions (direct):
Sm 0.998 0.243 0.997
Sm 0.668 0.582 0.335
Sm 0.662 0.081 0.325
Sm 0.332 0.418 0.665
Sm 0.338 0.919 0.675
Sm 0.002 0.757 0.003
Bi 0.166 0.333 0.331
Bi 0.834 0.667 0.669
Te 0.500 0.500 0.000
Te 0.830 0.166 0.660
Te 0.170 0.834 0.340
Hg 0.500 0.000 0.000

Results
Crystal system = monoclinic
Calculated volume = 382 Å³ per cell
Space group = C2/m
Total energy = -4.90 eV per atom



No. 17
Compound: Sm6Hg2BiTe3
Source: Alexandria via LeMat-Bulk
Functional: PBE
Structure: optimized geometry

a = 4.387 Å, b = 9.046 Å, c = 10.202 Å
α = 108.72°, β = 102.42°, γ = 90.00°
Positions (direct):
Te 0.162 0.858 0.323
Te 0.500 0.500 0.000
Te 0.838 0.142 0.677
Bi 0.500 0.000 0.000
Sm 0.671 0.116 0.341
Sm 0.008 0.255 0.015
Sm 0.329 0.884 0.659
Sm 0.663 0.609 0.325
Sm 0.992 0.745 0.985
Sm 0.337 0.391 0.675
Hg 0.180 0.377 0.361
Hg 0.820 0.623 0.639

Results
Crystal system = monoclinic
Calculated volume = 373 Å³ per cell
Space group = C2/m
Total energy = -4.51 eV per atom



No. 18
Compound: SmThHgBi
Source: Alexandria via LeMat-Bulk
Functional: PBE
Structure: optimized geometry

a = 5.490 Å, b = 5.490 Å, c = 5.490 Å
α = 60.00°, β = 60.00°, γ = 60.00°
Positions (direct):
Bi 0.250 0.250 0.250
Th 0.500 0.500 0.500
Hg 0.750 0.750 0.750
Sm 0.000 0.000 0.000

Results
Crystal system = cubic
Calculated volume = 117 Å³ per cell
Space group = F-43m
Formation enthalpy at 0 K = -0.396 eV per atom
Total energy = -4.48 eV per atom



No. 19
Compound: SmTlHgBi
Source: Alexandria via LeMat-Bulk
Functional: PBE
Structure: optimized geometry

a = 5.512 Å, b = 5.512 Å, c = 5.512 Å
α = 60.00°, β = 60.00°, γ = 60.00°
Positions (direct):
Sm 0.750 0.750 0.750
Hg 0.000 0.000 0.000
Bi 0.500 0.500 0.500
Tl 0.250 0.250 0.250

Results
Crystal system = cubic
Calculated volume = 118 Å³ per cell
Space group = F-43m
Formation enthalpy at 0 K = -0.293 eV per atom
Total energy = -3.11 eV per atom



No. 20
Compound: SmYHgBi
Source: Alexandria via LeMat-Bulk
Functional: PBE
Structure: optimized geometry

a = 5.420 Å, b = 5.420 Å, c = 5.420 Å
α = 60.00°, β = 60.00°, γ = 60.00°
Positions (direct):
Sm 0.250 0.250 0.250
Hg 0.500 0.500 0.500
Y 0.750 0.750 0.750
Bi 0.000 0.000 0.000

Results
Crystal system = cubic
Calculated volume = 113 Å³ per cell
Space group = F-43m
Formation enthalpy at 0 K = -0.536 eV per atom
Total energy = -4.38 eV per atom